# 1
Here is a geometry-optimized Zr12Co6Sb structure from Alexandria. Energies are from PBE.

The calculation puts the uncorrected formation energy at -0.260 eV per atom. The value obtained for the density of states at the Fermi level is 21.98 states/eV/f.u. As for the symmetry: Im-3 (204).

Cell: 7.820 7.820 7.820 Å, 109.47 109.47 109.47°
Element x y z (fractional)
Zr: 0.113 0.813 0.300
Zr: 0.187 0.300 0.487
Zr: 0.187 0.700 0.887
Zr: 0.300 0.113 0.813
Zr: 0.300 0.487 0.187
Zr: 0.487 0.187 0.300
Zr: 0.513 0.813 0.700
Zr: 0.700 0.513 0.813
Zr: 0.700 0.887 0.187
Zr: 0.813 0.300 0.113
Zr: 0.813 0.700 0.513
Zr: 0.887 0.187 0.700
Co: 0.135 0.635 0.500
Co: 0.365 0.500 0.865
Co: 0.500 0.135 0.635
Co: 0.500 0.865 0.365
Co: 0.635 0.500 0.135
Co: 0.865 0.365 0.500
Sb: 0.000 0.000 0.000


# 2
Here is a geometry-optimized GdDy2Te structure from Alexandria. Energies are from PBE.

The calculation puts the uncorrected formation energy at -0.254 eV per atom. The value obtained for the density of states at the Fermi level is 6.75 states/eV/f.u. Its distance to the lowest polymorph of the same formula is 301.9 meV per atom. As for the symmetry: R-3m (166).

Cell: 10.908 10.908 10.908 Å, 20.21 20.21 20.21°
Element x y z (fractional)
Gd: 0.000 0.000 0.000
Dy: 0.102 0.102 0.102
Dy: 0.898 0.898 0.898
Te: 0.500 0.500 0.500


# 3
Here is a geometry-optimized Ba2LaOs structure from Alexandria. Energies are from PBE.

As for the formation energy from the elements: 0.265 eV/atom. The value obtained for the density of states at the Fermi level is 4.68 states/eV/f.u. Its distance to the lowest polymorph of the same formula is 71.9 meV per atom. As for the symmetry: Immm (71).

Cell: 9.623 9.623 9.623 Å, 157.92 151.41 36.42°
Element x y z (fractional)
Ba: 0.151 0.151 0.000
Ba: 0.849 0.849 0.000
La: 0.500 0.000 0.500
Os: 0.000 0.500 0.500


# 4
Here is a geometry-optimized Zr3ScZn8 structure from Alexandria. Energies are from PBE.

As for the formation energy from the elements: -0.293 eV/atom. The value obtained for the density of states at the Fermi level is 7.72 states/eV/f.u. Its distance to the lowest polymorph of the same formula is 0.0 meV per atom. As for the symmetry: R3m (160).

Cell: 9.064 9.064 9.064 Å, 33.64 33.64 33.64°
Element x y z (fractional)
Zr: 0.000 0.000 0.000
Zr: 0.124 0.124 0.124
Zr: 0.626 0.626 0.626
Sc: 0.500 0.500 0.500
Zn: 0.062 0.563 0.563
Zn: 0.063 0.063 0.562
Zn: 0.063 0.562 0.063
Zn: 0.313 0.313 0.313
Zn: 0.562 0.063 0.063
Zn: 0.563 0.062 0.563
Zn: 0.563 0.563 0.062
Zn: 0.812 0.812 0.812


# 5
Here is a geometry-optimized Na4Tb3YSe8 structure from Alexandria. Energies are from PBE.

The calculation puts the uncorrected formation energy at -1.710 eV per atom. The value obtained for the density of states at the Fermi level is 0.00 states/eV/f.u. As for the symmetry: R-3m (166).

Cell: 8.498 8.498 8.498 Å, 58.61 58.61 58.61°
Element x y z (fractional)
Na: 0.000 0.000 0.000
Na: 0.000 0.500 0.500
Na: 0.500 0.000 0.500
Na: 0.500 0.500 0.000
Tb: 0.000 0.000 0.500
Tb: 0.000 0.500 0.000
Tb: 0.500 0.000 0.000
Y: 0.500 0.500 0.500
Se: 0.243 0.243 0.243
Se: 0.244 0.743 0.743
Se: 0.257 0.257 0.756
Se: 0.257 0.756 0.257
Se: 0.743 0.244 0.743
Se: 0.743 0.743 0.244
Se: 0.756 0.257 0.257
Se: 0.757 0.757 0.757


# 6
Here is a geometry-optimized KRbHCl structure from Alexandria. Energies are from PBE.

The value obtained for the density of states at the Fermi level is 0.00 states/eV/f.u. Its distance to the lowest polymorph of the same formula is 2.2 meV per atom. As for the symmetry: R-3m (166).

Cell: 11.983 11.983 11.983 Å, 25.87 25.87 25.87°
Element x y z (fractional)
K: 0.129 0.129 0.129
K: 0.871 0.871 0.871
Rb: 0.287 0.287 0.287
Rb: 0.713 0.713 0.713
H: 0.204 0.204 0.204
H: 0.796 0.796 0.796
Cl: 0.385 0.385 0.385
Cl: 0.615 0.615 0.615


# 7
Here is a geometry-optimized Sm5Tl3In structure from Alexandria. Energies are from PBE.

As for the formation energy from the elements: -0.369 eV/atom. The value obtained for the density of states at the Fermi level is 8.05 states/eV/f.u. As for the symmetry: P6_3/mcm (193).

Cell: 9.547 9.547 6.741 Å, 90.00 90.00 120.00°
Element x y z (fractional)
Sm: 0.000 0.288 0.250
Sm: 0.000 0.712 0.750
Sm: 0.288 0.000 0.250
Sm: 0.288 0.288 0.750
Sm: 0.333 0.667 0.000
Sm: 0.333 0.667 0.500
Sm: 0.667 0.333 0.000
Sm: 0.667 0.333 0.500
Sm: 0.712 0.000 0.750
Sm: 0.712 0.712 0.250
Tl: 0.000 0.372 0.750
Tl: 0.000 0.628 0.250
Tl: 0.372 0.000 0.750
Tl: 0.372 0.372 0.250
Tl: 0.628 0.000 0.250
Tl: 0.628 0.628 0.750
In: 0.000 0.000 0.000
In: 0.000 0.000 0.500


# 8
Here is a geometry-optimized Zn5Os structure from Alexandria. Energies are from PBE.

As for the formation energy from the elements: 0.079 eV/atom. The value obtained for the density of states at the Fermi level is 3.34 states/eV/f.u. Its distance to the lowest polymorph of the same formula is 0.0 meV per atom. As for the symmetry: Cmmm (65).

Cell: 6.212 6.212 3.804 Å, 90.00 90.00 144.29°
Element x y z (fractional)
Zn: 0.000 0.000 0.000
Zn: 0.162 0.838 0.500
Zn: 0.335 0.665 0.000
Zn: 0.665 0.335 0.000
Zn: 0.838 0.162 0.500
Os: 0.500 0.500 0.500


# 9
Here is a geometry-optimized Mn3FeCo structure from Alexandria. Energies are from PBE.

As for the formation energy from the elements: 0.137 eV/atom. The value obtained for the density of states at the Fermi level is 7.18 states/eV/f.u. Its distance to the lowest polymorph of the same formula is 72.5 meV per atom. As for the symmetry: P2_1/c (14).

Cell: 6.157 4.939 7.514 Å, 90.00 107.83 90.00°
Element x y z (fractional)
Mn: 0.095 0.249 0.398
Mn: 0.095 0.251 0.898
Mn: 0.292 0.000 0.198
Mn: 0.292 0.500 0.698
Mn: 0.293 0.000 0.698
Mn: 0.293 0.500 0.198
Mn: 0.707 0.000 0.302
Mn: 0.707 0.500 0.802
Mn: 0.708 0.000 0.802
Mn: 0.708 0.500 0.302
Mn: 0.905 0.749 0.102
Mn: 0.905 0.751 0.602
Fe: 0.095 0.750 0.399
Fe: 0.095 0.750 0.899
Fe: 0.905 0.250 0.101
Fe: 0.905 0.250 0.601
Co: 0.500 0.250 0.000
Co: 0.500 0.250 0.500
Co: 0.500 0.750 0.000
Co: 0.500 0.750 0.500


# 10
Here is a geometry-optimized ZrSc2CuH structure from Alexandria. Energies are from PBE.

The value obtained for the density of states at the Fermi level is 6.36 states/eV/f.u. The calculation puts the energy at -5.85 eV/atom. As for the symmetry: P4/mmm (123).

Cell: 4.446 4.446 4.192 Å, 90.00 90.00 90.00°
Element x y z (fractional)
Zr: 0.000 0.000 0.000
Sc: 0.000 0.500 0.500
Sc: 0.500 0.000 0.500
Cu: 0.500 0.500 0.000
H: 0.000 0.000 0.500


# 11
Here is a geometry-optimized Pr6AlZn2 structure from Alexandria. Energies are from PBE.

As for the formation energy from the elements: -0.168 eV/atom. The value obtained for the density of states at the Fermi level is 11.38 states/eV/f.u. As for the symmetry: Immm (71).

Cell: 8.875 8.875 8.875 Å, 109.78 109.55 109.08°
Element x y z (fractional)
Pr: 0.045 0.820 0.224
Pr: 0.247 0.546 0.299
Pr: 0.247 0.948 0.701
Pr: 0.266 0.318 0.584
Pr: 0.266 0.682 0.948
Pr: 0.404 0.180 0.224
Pr: 0.596 0.820 0.776
Pr: 0.734 0.318 0.052
Pr: 0.734 0.682 0.416
Pr: 0.753 0.052 0.299
Pr: 0.753 0.454 0.701
Pr: 0.955 0.180 0.776
Al: 0.000 0.500 0.500
Al: 0.500 0.000 0.500
Zn: 0.000 0.132 0.132
Zn: 0.000 0.868 0.868
Zn: 0.376 0.376 0.000
Zn: 0.624 0.624 0.000


# 12
Here is a geometry-optimized LiNbSeBr2 structure from Alexandria. Energies are from PBE.

The calculation puts the uncorrected formation energy at 0.115 eV per atom. The value obtained for the density of states at the Fermi level is 3.18 states/eV/f.u. Its distance to the lowest polymorph of the same formula is 659.8 meV per atom. As for the symmetry: P4/mmm (123).

Cell: 4.672 4.672 5.057 Å, 90.00 90.00 90.00°
Element x y z (fractional)
Li: 0.000 0.000 0.000
Nb: 0.500 0.500 0.500
Se: 0.000 0.000 0.500
Br: 0.000 0.500 0.000
Br: 0.500 0.000 0.000